Pu8Ir3Pt2: optimized geometry, PBE.

Structure (POSCAR):
```
Pu8Ir3Pt2
1.0
-3.246 -0.401 2.970
-2.033 -8.160 -1.334
4.183 -4.384 5.975
Pu Ir Pt
8 3 2
direct
0.152 0.584 0.584
0.848 0.416 0.416
0.949 0.132 0.132
0.051 0.868 0.868
0.569 0.616 0.109
0.569 0.109 0.616
0.431 0.891 0.384
0.431 0.384 0.891
0.500 0.000 0.000
0.000 0.239 0.761
0.000 0.761 0.239
0.397 0.272 0.272
0.603 0.728 0.728
```

Summary:
energy: -12.1359 eV per atom
ΔH_f (0 K): -0.342 eV/atom
DOS at the Fermi energy: 59.50 states/eV/cell
size of the total moment: 22.66 μB/f.u.